(1)
DFT (GGA-PBE) results for a relaxed HfAlCuMo crystal.

Values from the calculation:
As for the space-group type: No. 216. As for the energy relative to the lowest polymorph listed for this composition: 0.000 eV/f.u.

Cell: 4.485 4.485 4.485 Å, 60.00 60.00 60.00°
Element x y z (fractional)
Hf 0.000 0.000 0.000
Al 0.500 0.500 0.500
Cu 0.750 0.750 0.750
Mo 0.250 0.250 0.250

(2)
DFT (GGA-PBE) results for a relaxed HoTl2O4 crystal.

Values from the calculation:
The total energy is -5.6867 eV/atom. As for the space-group type: No. 227.

Cell: 6.844 6.844 6.844 Å, 60.00 60.00 60.00°
Element x y z (fractional)
Ho 0.125 0.125 0.125
Ho 0.875 0.875 0.875
Tl 0.000 0.500 0.500
Tl 0.500 0.000 0.500
Tl 0.500 0.500 0.000
Tl 0.500 0.500 0.500
O 0.254 0.254 0.254
O 0.254 0.254 0.739
O 0.254 0.739 0.254
O 0.261 0.746 0.746
O 0.739 0.254 0.254
O 0.746 0.261 0.746
O 0.746 0.746 0.261
O 0.746 0.746 0.746

(3)
DFT (GGA-PBE) results for a relaxed ScCdSb2 crystal.

Values from the calculation:
The total energy is -3.9164 eV/atom. As for the space-group type: No. 216.

Cell: 5.209 5.209 5.209 Å, 60.00 60.00 60.00°
Element x y z (fractional)
Sc 0.000 0.000 0.000
Cd 0.250 0.250 0.250
Sb 0.500 0.500 0.500
Sb 0.750 0.750 0.750

(4)
DFT (GGA-PBE) results for a relaxed YTm2Al3AgGe2 crystal.

Values from the calculation:
The total energy is -4.9072 eV/atom. As for the space-group type: No. 38.

Cell: 4.262 7.022 7.022 Å, 120.29 90.00 90.00°
Element x y z (fractional)
Y 0.000 0.000 0.000
Tm 0.000 0.169 0.586
Tm 0.000 0.586 0.169
Al 0.500 0.344 0.344
Al 0.500 0.585 0.824
Al 0.500 0.824 0.585
Ag 0.000 0.579 0.579
Ge 0.500 0.254 0.917
Ge 0.500 0.917 0.254

(5)
DFT (GGA-PBE) results for a relaxed ZnPdSeO crystal.

Values from the calculation:
As for the space-group type: No. 129. As for the energy relative to the lowest polymorph listed for this composition: 2.332 eV/f.u.

Cell: 3.637 3.637 9.668 Å, 90.00 90.00 90.00°
Element x y z (fractional)
Zn 0.250 0.250 0.118
Zn 0.750 0.750 0.882
Pd 0.250 0.250 0.709
Pd 0.750 0.750 0.291
Se 0.250 0.750 0.500
Se 0.750 0.250 0.500
O 0.250 0.250 0.921
O 0.750 0.750 0.079

(6)
DFT (GGA-PBE) results for a relaxed Cs2NaHgF6 crystal.

Values from the calculation:
As for the space-group type: No. 2. As for the energy relative to the lowest polymorph listed for this composition: 0.259 eV/f.u.

Cell: 6.159 6.161 8.717 Å, 90.01 90.00 90.01°
Element x y z (fractional)
Cs 0.000 0.000 0.250
Cs 0.000 0.000 0.750
Cs 0.500 0.500 0.250
Cs 0.500 0.500 0.750
Na 0.000 0.500 0.000
Na 0.500 0.000 0.500
Hg 0.000 0.500 0.500
Hg 0.500 0.000 0.000
F 0.001 0.500 0.250
F 0.246 0.247 0.500
F 0.248 0.752 0.999
F 0.252 0.252 0.000
F 0.254 0.746 0.501
F 0.499 0.000 0.250
F 0.501 0.000 0.750
F 0.746 0.254 0.499
F 0.748 0.748 0.000
F 0.752 0.248 0.001
F 0.754 0.753 0.500
F 0.999 0.500 0.750

(7)
DFT (GGA-PBE) results for a relaxed TmAgSeO crystal.

Values from the calculation:
The total energy is -5.8337 eV/atom. As for the space-group type: No. 4.

Cell: 5.666 5.665 11.061 Å, 90.00 92.02 90.00°
Element x y z (fractional)
Tm 0.005 0.000 0.090
Tm 0.495 0.000 0.909
Tm 0.505 0.500 0.091
Tm 0.995 0.500 0.910
Ag 0.189 0.275 0.496
Ag 0.499 0.020 0.288
Ag 0.501 0.520 0.712
Ag 0.811 0.775 0.504
Se 0.191 0.322 0.273
Se 0.195 0.217 0.719
Se 0.805 0.717 0.281
Se 0.809 0.822 0.727
O 0.250 0.749 0.000
O 0.252 0.248 0.999
O 0.748 0.748 0.001
O 0.750 0.249 0.000

(8)
DFT (GGA-PBE) results for a relaxed NdGdZr2Ge2 crystal.

Values from the calculation:
The total energy is -6.6369 eV/atom. As for the space-group type: No. 99.

Cell: 4.234 4.234 8.126 Å, 90.00 90.00 90.00°
Element x y z (fractional)
Nd 0.000 0.000 0.000
Gd 0.500 0.500 0.693
Zr 0.000 0.500 0.353
Zr 0.500 0.000 0.353
Ge 0.000 0.000 0.608
Ge 0.500 0.500 0.097

(9)
DFT (GGA-PBE) results for a relaxed Er3ZnGa2CuAu2 crystal.

Values from the calculation:
The total energy is -4.1431 eV/atom. As for the space-group type: No. 38.

Cell: 3.957 7.217 7.217 Å, 119.73 90.00 90.00°
Element x y z (fractional)
Er 0.000 0.000 0.000
Er 0.000 0.188 0.590
Er 0.000 0.590 0.188
Zn 0.500 0.357 0.357
Ga 0.500 0.593 0.824
Ga 0.500 0.824 0.593
Cu 0.000 0.598 0.598
Au 0.500 0.259 0.924
Au 0.500 0.924 0.259

(10)
DFT (GGA-PBE) results for a relaxed YHoIn2Ni4 crystal.

Values from the calculation:
As for the space-group type: No. 25. As for the energy relative to the lowest polymorph listed for this composition: 0.000 eV/f.u.

Cell: 4.022 5.089 7.018 Å, 90.00 90.00 90.00°
Element x y z (fractional)
Y 0.000 0.000 0.000
Ho 0.000 0.500 0.460
In 0.500 0.000 0.375
In 0.500 0.500 0.081
Ni 0.000 0.000 0.618
Ni 0.000 0.500 0.836
Ni 0.500 0.251 0.727
Ni 0.500 0.749 0.727

(11)
DFT (GGA-PBE) results for a relaxed Y2Ni17 crystal.

Values from the calculation:
As for the space-group type: No. 194. The calculation puts the formation energy at -198 meV/atom.

Cell: 8.261 8.261 7.993 Å, 90.00 90.00 120.00°
Element x y z (fractional)
Y 0.000 0.000 0.250
Y 0.000 0.000 0.750
Y 0.333 0.667 0.250
Y 0.667 0.333 0.750
Ni 0.000 0.500 0.000
Ni 0.000 0.500 0.500
Ni 0.044 0.372 0.750
Ni 0.044 0.672 0.750
Ni 0.166 0.331 0.021
Ni 0.166 0.331 0.479
Ni 0.166 0.834 0.021
Ni 0.166 0.834 0.479
Ni 0.328 0.372 0.750
Ni 0.328 0.956 0.750
Ni 0.331 0.166 0.521
Ni 0.331 0.166 0.979
Ni 0.333 0.667 0.602
Ni 0.333 0.667 0.898
Ni 0.372 0.044 0.250
Ni 0.372 0.328 0.250
Ni 0.500 0.000 0.000
Ni 0.500 0.000 0.500
Ni 0.500 0.500 0.000
Ni 0.500 0.500 0.500
Ni 0.628 0.672 0.750
Ni 0.628 0.956 0.750
Ni 0.667 0.333 0.102
Ni 0.667 0.333 0.398
Ni 0.669 0.834 0.021
Ni 0.669 0.834 0.479
Ni 0.672 0.044 0.250
Ni 0.672 0.628 0.250
Ni 0.834 0.166 0.521
Ni 0.834 0.166 0.979
Ni 0.834 0.669 0.521
Ni 0.834 0.669 0.979
Ni 0.956 0.328 0.250
Ni 0.956 0.628 0.250

(12)
DFT (GGA-PBE) results for a relaxed KMoPSe5 crystal.

Values from the calculation:
The total energy is -4.8383 eV/atom. As for the space-group type: No. 12.

Cell: 10.245 10.245 6.932 Å, 98.97 98.97 40.25°
Element x y z (fractional)
K 0.238 0.238 0.233
K 0.762 0.762 0.767
Mo 0.192 0.808 0.000
Mo 0.808 0.192 0.000
P 0.367 0.367 0.794
P 0.633 0.633 0.206
Se 0.075 0.075 0.822
Se 0.156 0.673 0.676
Se 0.252 0.252 0.747
Se 0.327 0.844 0.324
Se 0.423 0.423 0.108
Se 0.577 0.577 0.892
Se 0.673 0.156 0.676
Se 0.748 0.748 0.253
Se 0.844 0.327 0.324
Se 0.925 0.925 0.178

(13)
DFT (GGA-PBE) results for a relaxed TaBNO crystal.

Values from the calculation:
As for the space-group type: No. 129. As for the energy relative to the lowest polymorph listed for this composition: 3.024 eV/f.u.

Cell: 4.066 4.066 4.325 Å, 90.00 90.00 90.00°
Element x y z (fractional)
Ta 0.250 0.750 0.000
Ta 0.750 0.250 0.000
B 0.250 0.250 0.468
B 0.750 0.750 0.532
N 0.250 0.250 0.814
N 0.750 0.750 0.186
O 0.250 0.750 0.500
O 0.750 0.250 0.500

(14)
DFT (GGA-PBE) results for a relaxed RbZnCl3 crystal.

Values from the calculation:
The total energy is -2.9694 eV/atom. As for the space-group type: No. 140.

Cell: 7.053 7.053 7.053 Å, 119.16 119.16 91.46°
Element x y z (fractional)
Rb 0.250 0.250 0.000
Rb 0.750 0.750 0.000
Zn 0.000 0.500 0.500
Zn 0.500 0.000 0.500
Cl 0.234 0.734 0.967
Cl 0.250 0.750 0.500
Cl 0.266 0.234 0.500
Cl 0.734 0.766 0.500
Cl 0.750 0.250 0.500
Cl 0.766 0.266 0.033

(15)
DFT (GGA-PBE) results for a relaxed LiCuGeTe2S crystal.

Values from the calculation:
The total energy is -3.6936 eV/atom. As for the space-group type: No. 63.

Cell: 6.653 6.653 10.620 Å, 90.00 90.00 145.70°
Element x y z (fractional)
Li 0.201 0.799 0.750
Li 0.799 0.201 0.250
Cu 0.020 0.980 0.250
Cu 0.980 0.020 0.750
Ge 0.500 0.500 0.000
Ge 0.500 0.500 0.500
Te 0.160 0.840 0.062
Te 0.160 0.840 0.438
Te 0.840 0.160 0.562
Te 0.840 0.160 0.938
S 0.432 0.568 0.250
S 0.568 0.432 0.750

(16)
DFT (GGA-PBE) results for a relaxed HoEr2Lu3Bi2Os crystal.

Values from the calculation:
The total energy is -5.7559 eV/atom. As for the space-group type: No. 38.

Cell: 4.221 8.159 8.159 Å, 119.94 90.00 90.00°
Element x y z (fractional)
Ho 0.000 0.000 0.000
Er 0.000 0.385 0.769
Er 0.000 0.769 0.385
Lu 0.500 0.154 0.385
Lu 0.500 0.385 0.154
Lu 0.500 0.616 0.616
Bi 0.500 0.052 0.718
Bi 0.500 0.718 0.052
Os 0.000 0.387 0.387

(17)
DFT (GGA-PBE) results for a relaxed Re3AgSb5 crystal.

Values from the calculation:
The total energy is -6.2662 eV/atom. As for the space-group type: No. 191.

Cell: 5.514 5.514 8.226 Å, 90.00 90.00 120.00°
Element x y z (fractional)
Re 0.000 0.500 0.000
Re 0.500 0.000 0.000
Re 0.500 0.500 0.000
Ag 0.000 0.000 0.500
Sb 0.000 0.000 0.000
Sb 0.333 0.667 0.286
Sb 0.333 0.667 0.714
Sb 0.667 0.333 0.286
Sb 0.667 0.333 0.714

(18)
DFT (GGA-PBE) results for a relaxed Dy3Mg2CdInGa2 crystal.

Values from the calculation:
The total energy is -3.4342 eV/atom. As for the space-group type: No. 38.

Cell: 4.542 7.318 7.318 Å, 120.31 90.00 90.00°
Element x y z (fractional)
Dy 0.000 0.000 0.000
Dy 0.000 0.121 0.558
Dy 0.000 0.558 0.121
Mg 0.500 0.556 0.805
Mg 0.500 0.805 0.556
Cd 0.500 0.306 0.306
In 0.000 0.562 0.562
Ga 0.500 0.225 0.888
Ga 0.500 0.888 0.225

(19)
DFT (GGA-PBE) results for a relaxed RbNiPd crystal.

Values from the calculation:
As for the space-group type: No. 216. As for the energy relative to the lowest polymorph listed for this composition: 1.509 eV/f.u.

Cell: 4.783 4.783 4.783 Å, 60.00 60.00 60.00°
Element x y z (fractional)
Rb 0.000 0.000 0.000
Ni 0.750 0.750 0.750
Pd 0.250 0.250 0.250

(20)
DFT (GGA-PBE) results for a relaxed Dy8TcHg2 crystal.

Values from the calculation:
As for the space-group type: No. 12. The calculation puts the formation energy at -206 meV/atom.

Cell: 9.111 9.111 6.918 Å, 108.42 108.42 33.76°
Element x y z (fractional)
Dy 0.023 0.023 0.290
Dy 0.195 0.195 0.790
Dy 0.345 0.345 0.546
Dy 0.408 0.408 0.074
Dy 0.592 0.592 0.926
Dy 0.655 0.655 0.454
Dy 0.805 0.805 0.210
Dy 0.977 0.977 0.710
Tc 0.500 0.500 0.500
Hg 0.184 0.184 0.208
Hg 0.816 0.816 0.792